Entry 1:
DFT (PBE) results for a relaxed structure of Zn3ReHg.

Cell: 4.956 4.956 4.956 Å, 90.00 90.00 90.00°
Space group Pm-3m (No. 221)
Inequivalent atoms, fractional coordinates:
Zn 0.000 0.000 0.500 [3 per cell]
Re 0.000 0.000 0.000 [1 per cell]
Hg 0.500 0.500 0.500 [1 per cell]

**ΔE_f**: 4.57 eV/f.u.

Entry 2:
DFT (PBE) results for a relaxed structure of ZnRe3Hg.

Cell: 4.530 4.530 4.530 Å, 90.00 90.00 90.00°
Space group Pm-3m (No. 221)
Inequivalent atoms, fractional coordinates:
Zn 0.000 0.000 0.000 [1 per cell]
Re 0.000 0.000 0.500 [3 per cell]
Hg 0.500 0.500 0.500 [1 per cell]

**ΔE_f**: 10.74 eV/f.u.

Entry 3:
DFT (PBE) results for a relaxed structure of Zn4ReHg.

Cell: 7.158 7.158 7.158 Å, 90.00 90.00 90.00°
Space group F-43m (No. 216)
Inequivalent atoms, fractional coordinates:
Zn 0.124 0.124 0.376 [16 per cell]
Re 0.250 0.250 0.750 [4 per cell]
Hg 0.000 0.000 0.000 [4 per cell]

**ΔE_f**: 2.68 eV/f.u.

| no. | uncorrected energy (eV per cell) | DOS(E_F) (states/eV/cell) | magnetic moment (μB per formula unit) |
| --- | --- | --- | --- |
| 1 | -12.002 | 4.1 | 1.94 |
| 2 | -28.176 | 6.0 | 0.00 |
| 3 | -60.667 | 12.7 | 0.00 |